## Ti2HPdPb (PBE)

Data for Ti2HPdPb after structural relaxation.

Computed properties:
E_tot = -5.899 eV per atom

a = 4.146 Å, b = 4.146 Å, c = 4.250 Å
α = 90.00°, β = 90.00°, γ = 90.00°
Space group P4/mmm (No. 123)
Inequivalent atoms, fractional coordinates:
Ti 0.000 0.500 0.000
H 0.000 0.000 0.000
Pd 0.000 0.000 0.500
Pb 0.500 0.500 0.500